Entry 1:
First-principles (meta-GGA SCAN) data for GaNiI2 at its PBEsol-relaxed geometry, as listed in the Alexandria database.

The structure belongs to space group Fm-3m (No. 225); the cell edges are 7.2486, 7.2486 and 7.2486 Å and the angles 90.00°, 90.00° and 90.00°. The inequivalent atoms are Ga at (0.0000, 0.0000, 0.0000), Ni at (0.0000, 0.0000, 0.5000) and I at (0.2500, 0.2500, 0.2500).

For the final energy, the calculation gives -25.94 eV/atom. Its total moment is 0.251 μB/atom. The value obtained for the uncorrected formation energy is 0.558 eV/atom. The volume comes out at 380.9 Å³ per cell.

Entry 2:
First-principles (meta-GGA SCAN) data for GaNiI3 at its PBEsol-relaxed geometry, as listed in the Alexandria database.

The structure belongs to space group Pm-3m (No. 221); the cell edges are 5.2307, 5.2307 and 5.2307 Å and the angles 90.00°, 90.00° and 90.00°. The inequivalent atoms are Ga at (0.0000, 0.0000, 0.0000), Ni at (0.5000, 0.5000, 0.5000) and I at (0.0000, 0.5000, 0.5000).

For the final energy, the calculation gives -28.53 eV/atom. Its total moment is 0.000 μB/atom. The value obtained for the uncorrected formation energy is 0.015 eV/atom. The volume comes out at 143.1 Å³ per cell.

Entry 3:
First-principles (meta-GGA SCAN) data for GaNiTeI2 at its PBEsol-relaxed geometry, as listed in the Alexandria database.

The structure belongs to space group P4/mmm (No. 123); the cell edges are 5.3879, 5.3879 and 5.4324 Å and the angles 90.00°, 90.00° and 90.00°. The inequivalent atoms are Ga at (0.0000, 0.0000, 0.0000), Ni at (0.5000, 0.5000, 0.5000), Te at (0.0000, 0.0000, 0.5000) and I at (0.0000, 0.5000, 0.0000).

For the final energy, the calculation gives -27.96 eV/atom. Its total moment is 0.332 μB/atom. The value obtained for the uncorrected formation energy is 0.686 eV/atom. The volume comes out at 157.7 Å³ per cell.

Entry 4:
First-principles (meta-GGA SCAN) data for GaIO2 at its PBEsol-relaxed geometry, as listed in the Alexandria database.

The structure belongs to space group R-3m (No. 166, hexagonal axes); the cell edges are 3.3659, 3.3659 and 21.8944 Å and the angles 90.00°, 90.00° and 120.00°. The inequivalent atoms are Ga at (0.0000, 0.0000, 0.0000), I at (0.0000, 0.0000, 0.5000) and O at (0.0000, 0.0000, 0.0781).

For the final energy, the calculation gives -16.33 eV/atom. Its total moment is 0.291 μB/atom. The value obtained for the uncorrected formation energy is 0.055 eV/atom. The volume comes out at 214.8 Å³ per cell.

Entry 5:
First-principles (meta-GGA SCAN) data for Ga3IO at its PBEsol-relaxed geometry, as listed in the Alexandria database.

The structure belongs to space group Pm-3m (No. 221); the cell edges are 5.9137, 5.9137 and 5.9137 Å and the angles 90.00°, 90.00° and 90.00°. The inequivalent atoms are Ga at (0.0000, 0.0000, 0.5000), I at (0.0000, 0.0000, 0.0000) and O at (0.5000, 0.5000, 0.5000).

For the final energy, the calculation gives -17.25 eV/atom. Its total moment is 0.117 μB/atom. The value obtained for the uncorrected formation energy is 1.149 eV/atom. The volume comes out at 206.8 Å³ per cell.

Entry 6:
First-principles (meta-GGA SCAN) data for GaIO2 at its PBEsol-relaxed geometry, as listed in the Alexandria database.

The structure belongs to space group I-42d (No. 122); the cell edges are 5.4482, 5.4482 and 8.6369 Å and the angles 90.00°, 90.00° and 90.00°. The inequivalent atoms are Ga at (0.0000, 0.0000, 0.0000), I at (0.0000, 0.0000, 0.5000) and O at (0.1120, 0.2500, 0.1250).

For the final energy, the calculation gives -17.16 eV/atom. Its total moment is 0.000 μB/atom. The value obtained for the uncorrected formation energy is -0.771 eV/atom. The volume comes out at 256.4 Å³ per cell.

Entry 7:
First-principles (meta-GGA SCAN) data for Ga2OsIO at its PBEsol-relaxed geometry, as listed in the Alexandria database.

The structure belongs to space group P4/mmm (No. 123); the cell edges are 5.3168, 5.3168 and 3.6804 Å and the angles 90.00°, 90.00° and 90.00°. The inequivalent atoms are Ga at (0.0000, 0.5000, 0.0000), Os at (0.0000, 0.0000, 0.5000), I at (0.5000, 0.5000, 0.5000) and O at (0.0000, 0.0000, 0.0000).

For the final energy, the calculation gives -29.07 eV/atom. Its total moment is 0.050 μB/atom. The value obtained for the uncorrected formation energy is 0.438 eV/atom. The volume comes out at 104.0 Å³ per cell.

Entry 8:
First-principles (meta-GGA SCAN) data for GaReI2O at its PBEsol-relaxed geometry, as listed in the Alexandria database.

The structure belongs to space group P4/mmm (No. 123); the cell edges are 5.6101, 5.6101 and 3.5129 Å and the angles 90.00°, 90.00° and 90.00°. The inequivalent atoms are Ga at (0.0000, 0.0000, 0.0000), Re at (0.5000, 0.5000, 0.5000), I at (0.0000, 0.5000, 0.0000) and O at (0.0000, 0.0000, 0.5000).

For the final energy, the calculation gives -32.72 eV/atom. Its total moment is 0.858 μB/atom. The value obtained for the uncorrected formation energy is 0.707 eV/atom. The volume comes out at 110.6 Å³ per cell.